No. 1
! Te2AsPF PBE optimized geometry; values from VASP
! density of states at the Fermi level = 0.6354 states/eV/atom
! formation energy from raw total energies = 6 kJ per mole of atoms
! calculated total energy = -0.26300 Ry/atom
! M_tot = 0.00 μB/f.u.
! space group = P4/mmm
&SYSTEM
  ibrav = 0, nat = 5, ntyp = 4
/
ATOMIC_SPECIES
Te 127.60 Te.upf
As 74.92 As.upf
F 19.00 F.upf
P 30.97 P.upf
CELL_PARAMETERS angstrom
5.479 0.000 0.000
0.000 4.002 0.000
0.000 0.000 5.479
ATOMIC_POSITIONS angstrom
Te 0.000 0.000 2.740
Te 2.740 0.000 0.000
As 0.000 0.000 0.000
F 0.000 2.001 0.000
P 2.740 2.001 2.740

No. 2
! Nd2Dy3Cd3 PBE optimized geometry; values from VASP
! density of states at the Fermi level = 1.0755 states/eV/atom
! calculated total energy = -0.25627 Ry/atom
! distance to the lowest polymorph of the same formula = 0.00 eV per formula unit
! M_tot = 0.00 μB/f.u.
! space group = Immm
&SYSTEM
  ibrav = 0, nat = 8, ntyp = 3
/
ATOMIC_SPECIES
Cd 112.41 Cd.upf
Dy 162.50 Dy.upf
Nd 144.24 Nd.upf
CELL_PARAMETERS angstrom
3.746 0.000 -0.603
-0.202 5.203 -1.251
-0.035 0.060 11.715
ATOMIC_POSITIONS angstrom
Cd -0.101 2.602 -0.626
Cd 0.393 0.602 2.440
Cd 3.117 4.661 7.420
Dy 2.189 3.240 1.659
Dy 1.873 0.000 -0.302
Dy 1.321 2.023 8.201
Nd 2.678 1.233 4.697
Nd 0.832 4.030 5.164

No. 3
! NbOsS2Cl PBE optimized geometry; values from VASP
! density of states at the Fermi level = 1.1711 states/eV/atom
! formation energy from raw total energies = 82 kJ per mole of atoms
! calculated total energy = -0.39907 Ry/atom
! distance to the lowest polymorph of the same formula = 0.35 eV per formula unit
! M_tot = 4.16 μB/f.u.
! space group = P4/mmm
&SYSTEM
  ibrav = 0, nat = 5, ntyp = 4
/
ATOMIC_SPECIES
Os 190.23 Os.upf
Nb 92.91 Nb.upf
S 32.06 S.upf
Cl 35.45 Cl.upf
CELL_PARAMETERS angstrom
4.822 0.000 0.000
0.000 4.822 0.000
0.000 0.000 4.815
ATOMIC_POSITIONS angstrom
Os 2.411 2.411 2.408
Nb 0.000 0.000 0.000
S 2.411 0.000 0.000
S 0.000 2.411 0.000
Cl 0.000 0.000 2.408

No. 4
! AcNdPBr PBE optimized geometry; values from VASP
! density of states at the Fermi level = 0.3988 states/eV/atom
! formation energy from raw total energies = -141 kJ per mole of atoms
! calculated total energy = -0.40045 Ry/atom
! M_tot = 0.00 μB/f.u.
! space group = R3m
&SYSTEM
  ibrav = 0, nat = 4, ntyp = 4
/
ATOMIC_SPECIES
P 30.97 P.upf
Nd 144.24 Nd.upf
Br 79.90 Br.upf
Ac 227.00 Ac.upf
CELL_PARAMETERS angstrom
4.192 -0.001 0.000
-2.096 3.632 0.000
-2.095 -1.210 7.861
ATOMIC_POSITIONS angstrom
P -1.699 0.946 6.974
Nd -1.700 3.366 0.569
Br 2.492 0.945 2.742
Ac 0.396 -0.266 5.198